No. 1
TaTcHRu2, relaxed, DFT PBE; magnetization = 0.0 μB per formula unit; excess energy over the best structure of this formula in the dataset = 44 meV/atom
1.0
3.9279 0.0000 0.0000
0.0000 3.9279 0.0000
0.0000 0.0000 4.0306
Ta Tc H Ru
1 1 1 2
Direct
0.0000 0.0000 0.0000
0.5000 0.5000 0.0000
0.0000 0.0000 0.5000
0.0000 0.5000 0.5000
0.5000 0.0000 0.5000

---

No. 2
Sm5ScBi4, relaxed, DFT PBE; DFT formation energy = -0.502 eV/atom; magnetization = 0.0 μB per formula unit
1.0
9.5687 -2.2026 0.0000
9.5687 2.2026 0.0000
-2.3379 0.0000 8.2123
Sm Sc Bi
5 1 4
Direct
0.0000 0.0000 0.0000
0.3215 0.3215 0.1477
0.3335 0.3335 0.6886
0.6665 0.6665 0.3114
0.6785 0.6785 0.8523
0.0000 0.0000 0.5000
0.1632 0.1632 0.5771
0.4933 0.4933 0.2570
0.5067 0.5067 0.7430
0.8368 0.8368 0.4229